[1]
Below is LiVP2HO7 at its PBEsol-relaxed geometry, with properties calculated at the meta-GGA SCAN level.

Unit cell a=6.387 b=6.451 c=6.541 alpha=68.74 beta=88.80 gamma=82.72
Positions (direct):
Li (0.111, 0.251, 0.151)
Li (0.889, 0.749, 0.849)
V (0.347, 0.403, 0.716)
V (0.653, 0.597, 0.284)
P (0.155, 0.727, 0.238)
P (0.393, 0.863, 0.821)
P (0.607, 0.137, 0.179)
P (0.845, 0.273, 0.762)
H (0.174, 0.841, 0.515)
H (0.826, 0.159, 0.485)
O (0.028, 0.376, 0.818)
O (0.089, 0.897, 0.355)
O (0.235, 0.888, 0.013)
O (0.272, 0.733, 0.713)
O (0.334, 0.550, 0.365)
O (0.403, 0.274, 0.062)
O (0.406, 0.100, 0.673)
O (0.594, 0.900, 0.327)
O (0.597, 0.726, 0.938)
O (0.666, 0.450, 0.635)
O (0.728, 0.267, 0.287)
O (0.765, 0.112, 0.987)
O (0.911, 0.103, 0.645)
O (0.972, 0.624, 0.182)

Values from the calculation:
* DFT total energy: -9.628 eV per atom


[2]
Below is LiZnP2HO7 at its PBEsol-relaxed geometry, with properties calculated at the meta-GGA SCAN level.

Unit cell a=13.419 b=5.028 c=15.991 alpha=90.00 beta=90.00 gamma=90.00
Positions (direct):
Li (0.052, 0.089, 0.000)
Li (0.241, 0.299, 0.738)
Li (0.259, 0.299, 0.238)
Li (0.448, 0.089, 0.500)
Li (0.552, 0.911, 0.000)
Li (0.741, 0.701, 0.738)
Li (0.759, 0.701, 0.238)
Li (0.948, 0.911, 0.500)
Zn (0.053, 0.088, 0.662)
Zn (0.238, 0.313, 0.921)
Zn (0.262, 0.313, 0.421)
Zn (0.447, 0.088, 0.162)
Zn (0.553, 0.912, 0.662)
Zn (0.738, 0.687, 0.921)
Zn (0.762, 0.687, 0.421)
Zn (0.947, 0.912, 0.162)
P (0.067, 0.022, 0.330)
P (0.139, 0.821, 0.832)
P (0.142, 0.595, 0.087)
P (0.149, 0.591, 0.572)
P (0.351, 0.591, 0.072)
P (0.358, 0.595, 0.587)
P (0.361, 0.821, 0.332)
P (0.433, 0.022, 0.830)
P (0.567, 0.978, 0.330)
P (0.639, 0.179, 0.832)
P (0.642, 0.405, 0.087)
P (0.649, 0.409, 0.572)
P (0.851, 0.409, 0.072)
P (0.858, 0.405, 0.587)
P (0.861, 0.179, 0.332)
P (0.933, 0.978, 0.830)
H (0.096, 0.694, 0.431)
H (0.106, 0.617, 0.218)
H (0.394, 0.617, 0.718)
H (0.404, 0.694, 0.931)
H (0.596, 0.306, 0.431)
H (0.606, 0.383, 0.218)
H (0.894, 0.383, 0.718)
H (0.904, 0.306, 0.931)
O (0.019, 0.759, 0.835)
O (0.049, 0.851, 0.410)
O (0.051, 0.855, 0.251)
O (0.060, 0.796, 0.077)
O (0.065, 0.790, 0.584)
O (0.138, 0.475, 0.179)
O (0.146, 0.372, 0.024)
O (0.147, 0.495, 0.479)
O (0.152, 0.366, 0.635)
O (0.156, 0.976, 0.751)
O (0.160, 0.976, 0.912)
O (0.165, 0.167, 0.331)
O (0.188, 0.547, 0.830)
O (0.247, 0.751, 0.083)
O (0.253, 0.751, 0.583)
O (0.312, 0.547, 0.330)
O (0.335, 0.167, 0.831)
O (0.340, 0.976, 0.412)
O (0.344, 0.976, 0.251)
O (0.348, 0.366, 0.135)
O (0.353, 0.495, 0.979)
O (0.354, 0.372, 0.524)
O (0.362, 0.475, 0.679)
O (0.435, 0.790, 0.084)
O (0.440, 0.796, 0.577)
O (0.449, 0.855, 0.751)
O (0.451, 0.851, 0.910)
O (0.481, 0.759, 0.335)
O (0.519, 0.241, 0.835)
O (0.549, 0.149, 0.410)
O (0.551, 0.145, 0.251)
O (0.560, 0.204, 0.077)
O (0.565, 0.210, 0.584)
O (0.638, 0.525, 0.179)
O (0.646, 0.628, 0.024)
O (0.647, 0.505, 0.479)
O (0.652, 0.634, 0.635)
O (0.656, 0.024, 0.751)
O (0.660, 0.024, 0.912)
O (0.665, 0.833, 0.331)
O (0.688, 0.453, 0.830)
O (0.747, 0.249, 0.083)
O (0.753, 0.249, 0.583)
O (0.812, 0.453, 0.330)
O (0.835, 0.833, 0.831)
O (0.840, 0.024, 0.412)
O (0.844, 0.024, 0.251)
O (0.848, 0.634, 0.135)
O (0.853, 0.505, 0.979)
O (0.854, 0.628, 0.524)
O (0.862, 0.525, 0.679)
O (0.935, 0.210, 0.084)
O (0.940, 0.204, 0.577)
O (0.949, 0.145, 0.751)
O (0.951, 0.149, 0.910)
O (0.981, 0.241, 0.335)

Values from the calculation:
* DFT total energy: -9.206 eV per atom


[3]
Below is LiZnPH2O5 at its PBEsol-relaxed geometry, with properties calculated at the meta-GGA SCAN level.

Unit cell a=10.791 b=7.956 c=4.956 alpha=90.00 beta=90.00 gamma=90.00
Positions (direct):
Li (0.186, 0.181, 0.000)
Li (0.314, 0.681, 0.500)
Li (0.686, 0.319, 0.000)
Li (0.814, 0.819, 0.500)
Zn (0.124, 0.376, 0.499)
Zn (0.376, 0.876, 0.999)
Zn (0.624, 0.124, 0.499)
Zn (0.876, 0.624, 0.999)
P (0.164, 0.591, 0.996)
P (0.336, 0.091, 0.496)
P (0.664, 0.909, 0.996)
P (0.836, 0.409, 0.496)
H (0.016, 0.000, 0.169)
H (0.028, 0.820, 0.611)
H (0.472, 0.320, 0.111)
H (0.484, 0.500, 0.669)
H (0.516, 0.500, 0.169)
H (0.528, 0.680, 0.611)
H (0.972, 0.180, 0.111)
H (0.984, 0.000, 0.669)
O (0.016, 0.085, 0.022)
O (0.045, 0.685, 0.916)
O (0.161, 0.410, 0.878)
O (0.180, 0.577, 0.306)
O (0.225, 0.188, 0.377)
O (0.275, 0.688, 0.877)
O (0.320, 0.077, 0.806)
O (0.339, 0.910, 0.378)
O (0.455, 0.185, 0.416)
O (0.484, 0.585, 0.522)
O (0.516, 0.415, 0.022)
O (0.545, 0.815, 0.916)
O (0.661, 0.090, 0.878)
O (0.680, 0.923, 0.306)
O (0.725, 0.312, 0.377)
O (0.775, 0.812, 0.877)
O (0.820, 0.423, 0.806)
O (0.839, 0.590, 0.378)
O (0.955, 0.315, 0.416)
O (0.984, 0.915, 0.522)

Values from the calculation:
* DFT total energy: -8.402 eV per atom


[4]
Below is LiReH2O at its PBEsol-relaxed geometry, with properties calculated at the meta-GGA SCAN level.

Unit cell a=3.297 b=3.297 c=5.487 alpha=90.00 beta=90.00 gamma=90.00
Positions (direct):
Li (0.000, 0.000, 0.000)
Re (0.000, 0.000, 0.500)
H (0.000, 0.500, 0.500)
H (0.500, 0.000, 0.500)
O (0.500, 0.500, 0.000)

Values from the calculation:
* DFT total energy: -16.638 eV per atom


[5]
Below is LiH2SO4 at its PBEsol-relaxed geometry, with properties calculated at the meta-GGA SCAN level.

Unit cell a=6.002 b=10.301 c=9.952 alpha=90.00 beta=90.00 gamma=90.00
Positions (direct):
Li (0.057, 0.068, 0.163)
Li (0.057, 0.432, 0.163)
Li (0.443, 0.568, 0.663)
Li (0.443, 0.932, 0.663)
Li (0.557, 0.068, 0.337)
Li (0.557, 0.432, 0.337)
Li (0.943, 0.568, 0.837)
Li (0.943, 0.932, 0.837)
H (0.201, 0.110, 0.752)
H (0.201, 0.390, 0.752)
H (0.204, 0.551, 0.386)
H (0.204, 0.949, 0.386)
H (0.296, 0.051, 0.886)
H (0.296, 0.449, 0.886)
H (0.299, 0.610, 0.252)
H (0.299, 0.890, 0.252)
H (0.701, 0.110, 0.748)
H (0.701, 0.390, 0.748)
H (0.704, 0.551, 0.114)
H (0.704, 0.949, 0.114)
H (0.796, 0.051, 0.614)
H (0.796, 0.449, 0.614)
H (0.799, 0.610, 0.248)
H (0.799, 0.890, 0.248)
S (0.035, 0.750, 0.593)
S (0.240, 0.750, 0.036)
S (0.260, 0.250, 0.536)
S (0.465, 0.250, 0.093)
S (0.535, 0.750, 0.907)
S (0.740, 0.750, 0.464)
S (0.760, 0.250, 0.964)
S (0.965, 0.250, 0.407)
O (0.043, 0.250, 0.267)
O (0.120, 0.630, 0.007)
O (0.120, 0.870, 0.007)
O (0.148, 0.630, 0.555)
O (0.148, 0.870, 0.555)
O (0.155, 0.250, 0.670)
O (0.239, 0.026, 0.796)
O (0.239, 0.474, 0.796)
O (0.261, 0.526, 0.296)
O (0.261, 0.974, 0.296)
O (0.345, 0.750, 0.170)
O (0.352, 0.130, 0.055)
O (0.352, 0.370, 0.055)
O (0.380, 0.130, 0.507)
O (0.380, 0.370, 0.507)
O (0.457, 0.750, 0.767)
O (0.543, 0.250, 0.233)
O (0.620, 0.630, 0.493)
O (0.620, 0.870, 0.493)
O (0.648, 0.630, 0.945)
O (0.648, 0.870, 0.945)
O (0.655, 0.250, 0.830)
O (0.739, 0.026, 0.704)
O (0.739, 0.474, 0.704)
O (0.761, 0.526, 0.204)
O (0.761, 0.974, 0.204)
O (0.845, 0.750, 0.330)
O (0.852, 0.130, 0.445)
O (0.852, 0.370, 0.445)
O (0.880, 0.130, 0.993)
O (0.880, 0.370, 0.993)
O (0.957, 0.750, 0.733)

Values from the calculation:
* DFT total energy: -7.024 eV per atom


[6]
Below is Li2H2SO5 at its PBEsol-relaxed geometry, with properties calculated at the meta-GGA SCAN level.

Unit cell a=5.459 b=4.762 c=8.142 alpha=90.00 beta=106.78 gamma=90.00
Positions (direct):
Li (0.063, 0.000, 0.395)
Li (0.198, 0.488, 0.008)
Li (0.802, 0.988, 0.992)
Li (0.937, 0.500, 0.605)
H (0.476, 0.126, 0.319)
H (0.491, 0.376, 0.539)
H (0.509, 0.876, 0.461)
H (0.524, 0.626, 0.681)
S (0.210, 0.988, 0.791)
S (0.790, 0.488, 0.209)
O (0.063, 0.878, 0.620)
O (0.104, 0.866, 0.925)
O (0.182, 0.298, 0.791)
O (0.419, 0.055, 0.417)
O (0.481, 0.906, 0.826)
O (0.519, 0.406, 0.174)
O (0.581, 0.555, 0.583)
O (0.818, 0.798, 0.209)
O (0.896, 0.366, 0.075)
O (0.937, 0.378, 0.380)

Values from the calculation:
* DFT total energy: -7.056 eV per atom